(1)
First-principles (PBE) data for an optimized crystal structure of BaCaBr2, as listed in the Alexandria database.

a b c (Å): 4.5793 4.5793 31.5954
angles (deg): 90.00 90.00 120.00
Space group R3m (No. 160, hexagonal axes)
Unique sites:
Ba: 0.0000 0.0000 0.0000
Ca: 0.0000 0.0000 0.7802
Br: 0.0000 0.0000 0.2758
Br: 0.0000 0.0000 0.4904

energy above the lowest structure with this stoichiometry	47	meV per atom
energy	-3.21	eV/atom
N(E_F)	1.01	states/eV per cell
total magnetic moment	0.0	μB per cell
uncorrected formation energy	-1.397	eV/atom
density	2.9	g/cm³



(2)
First-principles (PBE) data for an optimized crystal structure of Cs2Na2Sr, as listed in the Alexandria database.

a b c (Å): 7.1332 7.1332 13.7515
angles (deg): 90.00 90.00 90.00
Space group I4/mmm (No. 139)
Unique sites:
Cs: 0.0000 0.0000 0.1405
Na: 0.0000 0.5000 0.2500
Sr: 0.0000 0.0000 0.5000

energy above the lowest structure with this stoichiometry	140	meV per atom
energy	-0.96	eV/atom
N(E_F)	6.38	states/eV per cell
total magnetic moment	0.0	μB per cell
density	1.9	g/cm³